(1)
Below is an optimized crystal structure of NdSi3Ni5, with properties calculated at the PBE-GGA level.

For the formation energy from raw total energies, the calculation gives -0.68 eV/atom. The calculated total energy comes out at -112.2 eV per cell. As for the space group: Cmcm, No. 63. The total magnetization is 0.00 Bohr magnetons per cell. The calculated density is 6.865 g/cm3.

a = 3.702 Å, b = 6.150 Å, c = 11.632 Å
α = 90.00°, β = 90.00°, γ = 107.52°
Element x y z (fractional)
Nd 0.838 0.676 0.750
Nd 0.162 0.324 0.250
Si 0.383 0.767 0.962
Si 0.888 0.775 0.250
Si 0.383 0.767 0.538
Si 0.617 0.233 0.462
Si 0.112 0.225 0.750
Si 0.617 0.233 0.038
Ni 0.803 0.607 0.433
Ni 0.197 0.393 0.933
Ni 0.000 0.000 0.500
Ni 0.000 0.000 0.000
Ni 0.449 0.897 0.146
Ni 0.551 0.103 0.854
Ni 0.551 0.103 0.646
Ni 0.803 0.607 0.067
Ni 0.197 0.393 0.567
Ni 0.449 0.897 0.354

=====

(2)
Below is an optimized crystal structure of NdSiNi3, with properties calculated at the PBE-GGA level.

For the formation energy from raw total energies, the calculation gives -0.27 eV/atom. The calculated total energy comes out at -57.8 eV per cell. As for the space group: Cmmm, No. 65. The total magnetization is 0.00 Bohr magnetons per cell. For the relative energy among the computed polymorphs, the calculation gives 114 meV/atom. The calculated density is 6.946 g/cm3.

a = 4.365 Å, b = 6.229 Å, c = 6.127 Å
α = 90.00°, β = 90.00°, γ = 90.00°
Element x y z (fractional)
Nd 0.500 0.000 0.000
Nd 0.500 0.500 0.500
Si 0.000 0.500 0.000
Si 0.000 0.000 0.500
Ni 0.500 0.500 0.000
Ni 0.500 0.000 0.500
Ni 0.000 0.750 0.250
Ni 0.000 0.250 0.250
Ni 0.000 0.250 0.750
Ni 0.000 0.750 0.750

=====

(3)
Below is an optimized crystal structure of NdSiNi, with properties calculated at the PBE-GGA level.

For the formation energy from raw total energies, the calculation gives -0.73 eV/atom. The calculated total energy comes out at -36.3 eV per cell. As for the space group: I4_1md, No. 109. The total magnetization is 0.00 Bohr magnetons per cell. The calculated density is 6.528 g/cm3.

a = 4.117 Å, b = 4.117 Å, c = 7.518 Å
α = 105.87°, β = 105.87°, γ = 89.98°
Element x y z (fractional)
Ni 0.587 0.587 0.174
Ni 0.337 0.837 0.674
Si 0.168 0.668 0.336
Si 0.418 0.418 0.836
Nd 0.749 0.249 0.498
Nd 0.999 0.999 0.998

=====

(4)
Below is an optimized crystal structure of Nd2Si4Ni5, with properties calculated at the PBE-GGA level.

For the formation energy from raw total energies, the calculation gives -0.67 eV/atom. The calculated total energy comes out at -67.5 eV per cell. As for the space group: Fmmm, No. 69. The total magnetization is 0.00 Bohr magnetons per cell. The calculated density is 6.720 g/cm3.

a = 5.498 Å, b = 5.510 Å, c = 7.089 Å
α = 78.84°, β = 67.18°, γ = 60.07°
Element x y z (fractional)
Nd 0.860 0.000 0.279
Nd 0.140 0.000 0.721
Si 0.482 0.301 0.736
Si 0.518 0.699 0.264
Si 0.217 0.301 0.264
Si 0.783 0.699 0.736
Ni 0.500 0.000 0.000
Ni 0.000 0.500 0.000
Ni 0.500 0.500 0.000
Ni 0.250 0.500 0.500
Ni 0.750 0.500 0.500

=====

(5)
Below is an optimized crystal structure of Nd12SiNi6, with properties calculated at the PBE-GGA level.

For the formation energy from raw total energies, the calculation gives -0.25 eV/atom. The calculated total energy comes out at -102.1 eV per cell. As for the space group: Im-3, No. 204. The total magnetization is 0.00 Bohr magnetons per cell. The calculated density is 7.053 g/cm3.

a = 8.643 Å, b = 8.643 Å, c = 8.643 Å
α = 109.47°, β = 109.47°, γ = 109.47°
Element x y z (fractional)
Nd 0.303 0.119 0.815
Nd 0.303 0.488 0.185
Nd 0.697 0.512 0.815
Nd 0.697 0.881 0.185
Nd 0.119 0.815 0.303
Nd 0.488 0.185 0.303
Nd 0.512 0.815 0.697
Nd 0.881 0.185 0.697
Nd 0.815 0.303 0.119
Nd 0.185 0.303 0.488
Nd 0.815 0.697 0.512
Nd 0.185 0.697 0.881
Si 0.000 0.000 0.000
Ni 0.377 0.500 0.877
Ni 0.623 0.500 0.123
Ni 0.500 0.877 0.377
Ni 0.500 0.123 0.623
Ni 0.877 0.377 0.500
Ni 0.123 0.623 0.500

=====

(6)
Below is an optimized crystal structure of NdSi6Ni12, with properties calculated at the PBE-GGA level.

For the formation energy from raw total energies, the calculation gives -0.51 eV/atom. The calculated total energy comes out at -116.3 eV per cell. As for the space group: R-3m, No. 166. The total magnetization is 0.00 Bohr magnetons per cell. The calculated density is 6.908 g/cm3.

a = 6.549 Å, b = 6.549 Å, c = 6.549 Å
α = 105.20°, β = 105.20°, γ = 105.20°
Element x y z (fractional)
Nd 0.000 0.000 0.000
Si 0.696 0.251 0.251
Si 0.251 0.251 0.696
Si 0.251 0.696 0.251
Si 0.749 0.749 0.304
Si 0.304 0.749 0.749
Si 0.749 0.304 0.749
Ni 0.877 0.123 0.500
Ni 0.834 0.568 0.568
Ni 0.568 0.568 0.834
Ni 0.432 0.166 0.432
Ni 0.432 0.432 0.166
Ni 0.166 0.432 0.432
Ni 0.123 0.500 0.877
Ni 0.500 0.877 0.123
Ni 0.123 0.877 0.500
Ni 0.877 0.500 0.123
Ni 0.500 0.123 0.877
Ni 0.568 0.834 0.568

=====

(7)
Below is an optimized crystal structure of NdSiNi, with properties calculated at the PBE-GGA level.

For the formation energy from raw total energies, the calculation gives -0.08 eV/atom. The calculated total energy comes out at -16.2 eV per cell. As for the space group: Cm, No. 8. The total magnetization is 0.00 Bohr magnetons per cell. The calculated density is 4.751 g/cm3.

a = 4.312 Å, b = 4.650 Å, c = 4.651 Å
α = 59.98°, β = 89.90°, γ = 89.88°
Element x y z (fractional)
Nd 0.382 0.694 0.474
Si 0.883 0.361 0.140
Ni 0.383 0.361 0.140

=====

(8)
Below is an optimized crystal structure of NdSmSiNi, with properties calculated at the PBE-GGA level.

For the formation energy from raw total energies, the calculation gives -0.55 eV/atom. The calculated total energy comes out at -22.9 eV per cell. As for the space group: Amm2, No. 38. The total magnetization is 0.00 Bohr magnetons per cell. The calculated density is 6.907 g/cm3.

a = 4.237 Å, b = 4.137 Å, c = 5.643 Å
α = 90.00°, β = 112.05°, γ = 90.00°
Element x y z (fractional)
Nd 0.143 0.000 0.286
Sm 0.858 0.500 0.717
Si 0.560 0.500 0.121
Ni 0.438 0.000 0.877

=====

(9)
Below is an optimized crystal structure of NdSm2Si2Ni2, with properties calculated at the PBE-GGA level.

For the formation energy from raw total energies, the calculation gives -0.61 eV/atom. The calculated total energy comes out at -40.9 eV per cell. As for the space group: R-3m, No. 166. The total magnetization is 0.47 Bohr magnetons per cell. The calculated density is 6.352 g/cm3.

a = 4.088 Å, b = 4.088 Å, c = 11.418 Å
α = 79.69°, β = 79.69°, γ = 60.00°
Element x y z (fractional)
Nd 0.000 0.000 0.000
Sm 0.115 0.115 0.655
Sm 0.885 0.885 0.345
Si 0.729 0.729 0.814
Si 0.271 0.271 0.186
Ni 0.605 0.605 0.184
Ni 0.395 0.395 0.816

=====

(10)
Below is an optimized crystal structure of NdSi2TcNi, with properties calculated at the PBE-GGA level.

For the formation energy from raw total energies, the calculation gives -0.72 eV/atom. The calculated total energy comes out at -35.3 eV per cell. As for the space group: I-4m2, No. 119. The total magnetization is 0.00 Bohr magnetons per cell. The calculated density is 7.002 g/cm3.

a = 4.093 Å, b = 4.093 Å, c = 5.825 Å
α = 110.57°, β = 110.57°, γ = 90.00°
Element x y z (fractional)
Nd 0.000 0.000 0.000
Si 0.629 0.629 0.257
Si 0.371 0.371 0.743
Tc 0.250 0.750 0.500
Ni 0.750 0.250 0.500

=====

(11)
Below is an optimized crystal structure of Nd2TmSi3Ni12, with properties calculated at the PBE-GGA level.

For the formation energy from raw total energies, the calculation gives -0.17 eV/atom. The calculated total energy comes out at -102.8 eV per cell. As for the space group: R-3m, No. 166. The total magnetization is 0.00 Bohr magnetons per cell. The calculated density is 8.058 g/cm3.

a = 6.375 Å, b = 6.375 Å, c = 6.375 Å
α = 85.42°, β = 85.42°, γ = 85.42°
Element x y z (fractional)
Nd 0.650 0.650 0.650
Nd 0.350 0.350 0.350
Tm 0.000 0.000 0.000
Si 0.500 0.000 0.000
Si 0.000 0.500 0.000
Si 0.000 0.000 0.500
Ni 0.380 0.380 0.912
Ni 0.810 0.810 0.307
Ni 0.307 0.810 0.810
Ni 0.912 0.380 0.380
Ni 0.810 0.307 0.810
Ni 0.380 0.912 0.380
Ni 0.620 0.620 0.088
Ni 0.190 0.190 0.693
Ni 0.693 0.190 0.190
Ni 0.088 0.620 0.620
Ni 0.190 0.693 0.190
Ni 0.620 0.088 0.620

=====

(12)
Below is an optimized crystal structure of NdYSi2Ni2, with properties calculated at the PBE-GGA level.

For the formation energy from raw total energies, the calculation gives -0.76 eV/atom. The calculated total energy comes out at -38.2 eV per cell. As for the space group: P-3m1, No. 164. The total magnetization is 0.00 Bohr magnetons per cell. The calculated density is 5.923 g/cm3.

a = 3.988 Å, b = 3.988 Å, c = 8.278 Å
α = 90.00°, β = 90.00°, γ = 120.00°
Element x y z (fractional)
Nd 0.000 0.000 0.000
Y 0.000 0.000 0.500
Si 0.667 0.333 0.742
Si 0.333 0.667 0.258
Ni 0.667 0.333 0.259
Ni 0.333 0.667 0.741

=====

(13)
Below is an optimized crystal structure of NdZnSiNi6, with properties calculated at the PBE-GGA level.

For the formation energy from raw total energies, the calculation gives -0.20 eV/atom. The calculated total energy comes out at -96.0 eV per cell. As for the space group: Imma, No. 74. The total magnetization is 0.01 Bohr magnetons per cell. The calculated density is 7.630 g/cm3.

a = 7.441 Å, b = 5.149 Å, c = 8.086 Å
α = 108.57°, β = 117.39°, γ = 90.00°
Element x y z (fractional)
Nd 0.745 0.495 0.490
Nd 0.255 0.505 0.510
Zn 0.500 0.000 0.500
Zn 0.000 0.000 0.500
Si 0.500 0.500 0.000
Si 0.500 0.000 0.000
Ni 0.636 0.886 0.272
Ni 0.003 0.253 0.005
Ni 0.862 0.096 0.184
Ni 0.321 0.588 0.184
Ni 0.321 0.096 0.184
Ni 0.862 0.588 0.184
Ni 0.364 0.114 0.728
Ni 0.997 0.747 0.995
Ni 0.138 0.904 0.816
Ni 0.679 0.412 0.816
Ni 0.679 0.904 0.816
Ni 0.138 0.412 0.816

=====

(14)
Below is an optimized crystal structure of Nd2ZnSi3Ni4, with properties calculated at the PBE-GGA level.

For the formation energy from raw total energies, the calculation gives -0.70 eV/atom. The calculated total energy comes out at -57.2 eV per cell. As for the space group: P-4m2, No. 115. The total magnetization is 0.00 Bohr magnetons per cell. The calculated density is 6.981 g/cm3.

a = 4.085 Å, b = 4.085 Å, c = 9.592 Å
α = 90.00°, β = 90.00°, γ = 90.00°
Element x y z (fractional)
Nd 0.500 0.000 0.248
Nd 0.000 0.500 0.752
Zn 0.500 0.500 0.500
Si 0.000 0.000 0.500
Si 0.500 0.000 0.876
Si 0.000 0.500 0.124
Ni 0.500 0.500 0.000
Ni 0.000 0.000 0.000
Ni 0.500 0.000 0.632
Ni 0.000 0.500 0.368

=====

(15)
Below is an optimized crystal structure of NdZn2SiNi4, with properties calculated at the PBE-GGA level.

For the formation energy from raw total energies, the calculation gives -0.35 eV/atom. The calculated total energy comes out at -38.7 eV per cell. As for the space group: R-3m, No. 166. The total magnetization is 0.00 Bohr magnetons per cell. The calculated density is 7.566 g/cm3.

a = 4.046 Å, b = 4.046 Å, c = 8.650 Å
α = 76.48°, β = 76.48°, γ = 60.00°
Element x y z (fractional)
Nd 0.000 0.000 0.000
Zn 0.759 0.759 0.722
Zn 0.241 0.241 0.278
Si 0.500 0.500 0.500
Ni 0.410 0.410 0.771
Ni 0.863 0.863 0.410
Ni 0.137 0.137 0.590
Ni 0.590 0.590 0.229

=====

(16)
Below is an optimized crystal structure of Nd2ZnSi4Ni3, with properties calculated at the PBE-GGA level.

For the formation energy from raw total energies, the calculation gives -0.74 eV/atom. The calculated total energy comes out at -57.2 eV per cell. As for the space group: P-4m2, No. 115. The total magnetization is 0.00 Bohr magnetons per cell. The calculated density is 6.593 g/cm3.

a = 4.074 Å, b = 4.074 Å, c = 9.747 Å
α = 90.00°, β = 90.00°, γ = 90.00°
Element x y z (fractional)
Nd 0.500 0.000 0.244
Nd 0.000 0.500 0.756
Zn 0.500 0.500 0.500
Si 0.500 0.500 0.000
Si 0.000 0.000 0.000
Si 0.500 0.000 0.642
Si 0.000 0.500 0.358
Ni 0.000 0.000 0.500
Ni 0.500 0.000 0.883
Ni 0.000 0.500 0.117

=====

(17)
Below is an optimized crystal structure of NdZnSi2Ni5, with properties calculated at the PBE-GGA level.

For the formation energy from raw total energies, the calculation gives -0.18 eV/atom. The calculated total energy comes out at -47.4 eV per cell. As for the space group: P4/mmm, No. 123. The total magnetization is 0.00 Bohr magnetons per cell. The calculated density is 7.014 g/cm3.

a = 4.395 Å, b = 4.395 Å, c = 6.854 Å
α = 90.00°, β = 90.00°, γ = 90.00°
Element x y z (fractional)
Nd 0.000 0.000 0.500
Zn 0.000 0.000 0.000
Si 0.500 0.500 0.170
Si 0.500 0.500 0.830
Ni 0.000 0.500 0.221
Ni 0.500 0.000 0.221
Ni 0.000 0.500 0.779
Ni 0.500 0.000 0.779
Ni 0.500 0.500 0.500

=====

(18)
Below is an optimized crystal structure of NdSm12Ni6, with properties calculated at the PBE-GGA level.

The calculated total energy comes out at -99.8 eV per cell. As for the space group: Im-3, No. 204. The value obtained for the calculated formation energy is -3.7 eV/f.u. The total magnetization is 0.00 Bohr magnetons per cell. The calculated density is 7.523 g/cm3.

a = 8.705 Å, b = 8.705 Å, c = 8.705 Å
α = 109.47°, β = 109.47°, γ = 109.47°
Element x y z (fractional)
Nd 0.000 0.000 0.000
Sm 0.312 0.127 0.815
Sm 0.312 0.497 0.185
Sm 0.688 0.503 0.815
Sm 0.688 0.873 0.185
Sm 0.127 0.815 0.312
Sm 0.497 0.185 0.312
Sm 0.503 0.815 0.688
Sm 0.873 0.185 0.688
Sm 0.815 0.312 0.127
Sm 0.185 0.312 0.497
Sm 0.815 0.688 0.503
Sm 0.185 0.688 0.873
Ni 0.378 0.500 0.878
Ni 0.622 0.500 0.122
Ni 0.500 0.878 0.378
Ni 0.500 0.122 0.622
Ni 0.878 0.378 0.500
Ni 0.122 0.622 0.500

=====

(19)
Below is an optimized crystal structure of NdSmNi, with properties calculated at the PBE-GGA level.

The calculated total energy comes out at -15.7 eV per cell. As for the space group: I4mm, No. 107. The value obtained for the calculated formation energy is -0.4 eV/f.u. The total magnetization is 0.00 Bohr magnetons per cell. For the relative energy among the computed polymorphs, the calculation gives 80 meV/atom. The calculated density is 7.461 g/cm3.

a = 3.503 Å, b = 3.503 Å, c = 6.870 Å
α = 104.77°, β = 104.77°, γ = 90.00°
Element x y z (fractional)
Ni 0.663 0.663 0.326
Nd 0.298 0.298 0.596
Sm 0.039 0.039 0.078

=====

(20)
Below is an optimized crystal structure of NdSm3Ni, with properties calculated at the PBE-GGA level.

The calculated total energy comes out at -50.7 eV per cell. As for the space group: Cm, No. 8. The value obtained for the calculated formation energy is -0.6 eV/f.u. The total magnetization is 0.00 Bohr magnetons per cell. The calculated density is 7.442 g/cm3.

a = 3.748 Å, b = 6.332 Å, c = 13.023 Å
α = 85.09°, β = 81.73°, γ = 72.79°
Element x y z (fractional)
Nd 0.099 0.518 0.284
Nd 0.221 0.554 0.004
Sm 0.436 0.982 0.146
Sm 0.775 0.689 0.761
Sm 0.112 0.149 0.627
Sm 0.992 0.115 0.902
Sm 0.779 0.053 0.389
Sm 0.433 0.613 0.522
Ni 0.756 0.347 0.141
Ni 0.458 0.318 0.766

=====

(21)
Below is an optimized crystal structure of Nd3SmNi2, with properties calculated at the PBE-GGA level.

The calculated total energy comes out at -63.7 eV per cell. As for the space group: C2/m, No. 12. The value obtained for the calculated formation energy is -1.3 eV/f.u. The total magnetization is 0.00 Bohr magnetons per cell. The calculated density is 7.204 g/cm3.

a = 3.980 Å, b = 8.530 Å, c = 10.124 Å
α = 77.97°, β = 78.66°, γ = 76.51°
Element x y z (fractional)
Nd 0.155 0.939 0.751
Nd 0.845 0.061 0.249
Nd 0.418 0.224 0.940
Nd 0.582 0.776 0.060
Nd 0.582 0.279 0.557
Nd 0.418 0.721 0.443
Sm 0.844 0.562 0.750
Sm 0.156 0.438 0.250
Ni 0.233 0.583 0.951
Ni 0.767 0.417 0.049
Ni 0.768 0.915 0.549
Ni 0.232 0.085 0.451